Arrangement one

Below is crystalline PrDy3Sc3 at its relaxed geometry, with properties calculated at the PBE level.

Values from the calculation:
SG: R3m
Calculated volume: 214.6 Å³ per cell

Structure (POSCAR):
```
PrDy3Sc3
1.0
-4.5758 -4.3809 1.3475
1.2948 -0.1357 -6.4208
5.4262 -1.4370 3.3782
Pr Dy Sc
1 3 3
direct
0.4035 0.0000 0.0000
0.5506 0.5442 0.5442
0.0064 0.0000 0.4558
0.0064 0.4558 0.0000
0.9951 0.4887 0.4887
0.5065 0.0000 0.5113
0.5065 0.5113 0.0000
```



Arrangement two

Below is crystalline PrDy3Sc3 at its relaxed geometry, with properties calculated at the PBE level.

Values from the calculation:
SG: R-3
Calculated volume: 424.4 Å³ per cell

Structure (POSCAR):
```
PrDy3Sc3
1.0
7.5499 0.4123 3.9193
2.5597 7.1146 3.9193
0.5538 0.4123 8.4885
Pr Dy Sc
2 6 6
direct
0.3492 0.3492 0.3492
0.6508 0.6508 0.6508
0.7240 0.5695 0.0660
0.0660 0.7240 0.5695
0.5695 0.0660 0.7240
0.4305 0.9340 0.2760
0.9340 0.2760 0.4305
0.2760 0.4305 0.9340
0.7244 0.1668 0.9369
0.1668 0.9369 0.7244
0.9369 0.7244 0.1668
0.0631 0.2756 0.8332
0.8332 0.0631 0.2756
0.2756 0.8332 0.0631
```



Energy ordering: arrangement two at the bottom, the next structure 83 meV per atom above.